CsUH2Cl8 | PBE-GGA | optimized geometry

Values from the calculation:
* theoretical density: 2537 kg/m3
* symmetry: P-1
* total DFT energy (no corrections): -50.1 eV per formula unit

abc: 6.9658 7.1159 9.5134
angles: 93.08 108.97 103.32
Atoms (fractional coordinates):
Cs 0.0000 0.0000 0.0000
U 0.5000 0.0000 0.5000
H 0.0141 0.4322 0.7344
H 0.9859 0.5678 0.2656
Cl 0.1611 0.4869 0.8668
Cl 0.1803 0.1286 0.3934
Cl 0.2606 0.6645 0.4815
Cl 0.4909 0.9168 0.2336
Cl 0.5091 0.0832 0.7664
Cl 0.7394 0.3355 0.5185
Cl 0.8197 0.8714 0.6066
Cl 0.8389 0.5131 0.1332

=====

CrAg2Ir | PBE-GGA | optimized geometry

Values from the calculation:
* theoretical density: 11878 kg/m3
* symmetry: F-43m
* relative energy among the computed polymorphs: 243.3 meV per atom
* total DFT energy (no corrections): -22.4 eV per formula unit
* formation enthalpy at 0 K: 0.435 eV per atom

abc: 4.4968 4.4968 4.4968
angles: 60.00 60.00 60.00
Atoms (fractional coordinates):
Cr 0.0000 0.0000 0.0000
Ag 0.2500 0.2500 0.2500
Ag 0.5000 0.5000 0.5000
Ir 0.7500 0.7500 0.7500

=====

Th2Zr2In3 | PBE-GGA | optimized geometry

Values from the calculation:
* theoretical density: 9010 kg/m3
* symmetry: Cmmm
* total DFT energy (no corrections): -41.2 eV per formula unit
* formation enthalpy at 0 K: -0.154 eV per atom

abc: 11.9301 11.9301 3.2851
angles: 90.00 90.00 157.01
Atoms (fractional coordinates):
Th 0.0762 0.9238 0.0000
Th 0.9238 0.0762 0.0000
Zr 0.2109 0.7891 0.0000
Zr 0.7891 0.2109 0.0000
In 0.3368 0.6632 0.5000
In 0.5000 0.5000 0.5000
In 0.6632 0.3368 0.5000

=====

RbBe2H2 | PBE-GGA | optimized geometry

Values from the calculation:
* theoretical density: 2145 kg/m3
* symmetry: P1
* relative energy among the computed polymorphs: 83.2 meV per atom
* total DFT energy (no corrections): -14.7 eV per formula unit

abc: 3.7583 6.7103 6.7698
angles: 99.96 101.98 94.53
Atoms (fractional coordinates):
Rb 0.0000 0.0000 0.0000
Rb 0.0786 0.6500 0.3610
Be 0.2711 0.2613 0.6584
Be 0.4021 0.5394 0.8716
Be 0.6720 0.1277 0.5188
Be 0.8146 0.4102 0.7286
H 0.3801 0.0490 0.6181
H 0.4654 0.6738 0.0626
H 0.5057 0.3240 0.5090
H 0.6296 0.9920 0.3295

=====

TlVSbI2 | PBE-GGA | optimized geometry

Values from the calculation:
* theoretical density: 4798 kg/m3
* symmetry: P4/mmm
* relative energy among the computed polymorphs: 925.2 meV per atom
* total DFT energy (no corrections): -14.1 eV per formula unit
* uncorrected formation energy: 922 meV/atom

abc: 6.1303 6.1303 5.8102
angles: 90.00 90.00 90.00
Atoms (fractional coordinates):
Tl 0.0000 0.0000 0.0000
V 0.5000 0.5000 0.5000
Sb 0.0000 0.0000 0.5000
I 0.0000 0.5000 0.0000
I 0.5000 0.0000 0.0000

=====

BeIN2 | PBE-GGA | optimized geometry

Values from the calculation:
* theoretical density: 3917 kg/m3
* symmetry: P1
* relative energy among the computed polymorphs: 69.0 meV per atom
* total DFT energy (no corrections): -21.9 eV per formula unit
* uncorrected formation energy: 16 meV/atom

abc: 2.9736 4.0185 6.2575
angles: 88.45 89.64 68.39
Atoms (fractional coordinates):
Be 0.0000 0.0000 0.0000
I 0.9850 0.0377 0.5792
N 0.6275 0.7440 0.0382
N 0.7888 0.4185 0.0359

=====

MnFe2Co2 | PBE-GGA | optimized geometry

Values from the calculation:
* theoretical density: 7310 kg/m3
* symmetry: P-3m1
* relative energy among the computed polymorphs: 87.2 meV per atom
* total DFT energy (no corrections): -38.2 eV per formula unit
* formation enthalpy at 0 K: 0.428 eV per atom

abc: 3.9757 3.9757 4.7212
angles: 90.00 90.00 120.00
Atoms (fractional coordinates):
Mn 0.0000 0.0000 0.0000
Fe 0.3333 0.6667 0.1699
Fe 0.6667 0.3333 0.8301
Co 0.3333 0.6667 0.6633
Co 0.6667 0.3333 0.3367

=====

CaScCd2 | PBE-GGA | optimized geometry

Values from the calculation:
* theoretical density: 5298 kg/m3
* symmetry: F-43m
* total DFT energy (no corrections): -10.4 eV per formula unit
* formation enthalpy at 0 K: -0.055 eV per atom

abc: 5.1594 5.1594 5.1594
angles: 60.00 60.00 60.00
Atoms (fractional coordinates):
Ca 0.0000 0.0000 0.0000
Sc 0.2500 0.2500 0.2500
Cd 0.5000 0.5000 0.5000
Cd 0.7500 0.7500 0.7500

=====

Cs4La3ThSe8 | PBE-GGA | optimized geometry

Values from the calculation:
* theoretical density: 5214 kg/m3
* symmetry: R-3m
* total DFT energy (no corrections): -81.3 eV per formula unit
* uncorrected formation energy: -1738 meV/atom

abc: 9.8484 9.8484 9.8484
angles: 53.77 53.77 53.77
Atoms (fractional coordinates):
Cs 0.0000 0.0000 0.0000
Cs 0.0000 0.5000 0.5000
Cs 0.5000 0.0000 0.5000
Cs 0.5000 0.5000 0.0000
La 0.0000 0.0000 0.5000
La 0.0000 0.5000 0.0000
La 0.5000 0.0000 0.0000
Th 0.5000 0.5000 0.5000
Se 0.2309 0.2309 0.2309
Se 0.2403 0.7254 0.7254
Se 0.2746 0.2746 0.7597
Se 0.2746 0.7597 0.2746
Se 0.7254 0.2403 0.7254
Se 0.7254 0.7254 0.2403
Se 0.7597 0.2746 0.2746
Se 0.7691 0.7691 0.7691

=====

Please write out number 9 again, unchanged.
Cs4La3ThSe8 | PBE-GGA | optimized geometry

Values from the calculation:
* theoretical density: 5214 kg/m3
* symmetry: R-3m
* total DFT energy (no corrections): -81.3 eV per formula unit
* uncorrected formation energy: -1738 meV/atom

abc: 9.8484 9.8484 9.8484
angles: 53.77 53.77 53.77
Atoms (fractional coordinates):
Cs 0.0000 0.0000 0.0000
Cs 0.0000 0.5000 0.5000
Cs 0.5000 0.0000 0.5000
Cs 0.5000 0.5000 0.0000
La 0.0000 0.0000 0.5000
La 0.0000 0.5000 0.0000
La 0.5000 0.0000 0.0000
Th 0.5000 0.5000 0.5000
Se 0.2309 0.2309 0.2309
Se 0.2403 0.7254 0.7254
Se 0.2746 0.2746 0.7597
Se 0.2746 0.7597 0.2746
Se 0.7254 0.2403 0.7254
Se 0.7254 0.7254 0.2403
Se 0.7597 0.2746 0.2746
Se 0.7691 0.7691 0.7691

=====

Look up the theoretical density of the second one.
11878 kg/m3

=====

Which value of total DFT energy (no corrections) does entry 2 give?
-22.4 eV per formula unit

=====

Which of these has the lowest total DFT energy (no corrections)?
Cs4La3ThSe8